## Cr2TeRu (PBE)

Data for crystalline Cr2TeRu at its relaxed geometry.

abc: 8.2491 8.2491 8.2491
angles: 20.61 20.61 20.61
Each line ends with the local moment (μB).
Fractional positions:
Cr1 0.9965 0.9965 0.9965  0.51
Cr2 0.5035 0.5035 0.5035  0.51
Ru1 0.2500 0.2500 0.2500  -0.02
Te1 0.7500 0.7500 0.7500  -0.01

For the total magnetization, the calculation gives 1.051 μB/f.u. As for the mass density: 9.08 g cm⁻³. The value obtained for the formation energy (no corrections) is 0.650 eV per atom. As for the raw total energy: -7.266 eV per atom.